# 1
Computed, not measured: a relaxed Ho2MgHg8 crystal at the PBE level of DFT.

Structure (POSCAR):
```
Ho2MgHg8
1.0
8.4759 -2.3893 0.0000
8.4759 2.3893 0.0000
-2.2276 0.0000 6.5250
Ho Mg Hg
2 1 8
direct
0.2130 0.2130 0.1753 Ho
0.7870 0.7870 0.8247 Ho
0.5000 0.5000 0.5000 Mg
0.0222 0.0222 0.2310 Hg
0.1618 0.1618 0.6886 Hg
0.3493 0.3493 0.6158 Hg
0.3951 0.3951 0.0786 Hg
0.6049 0.6049 0.9214 Hg
0.6507 0.6507 0.3842 Hg
0.8382 0.8382 0.3114 Hg
0.9778 0.9778 0.7690 Hg
```

Values from the calculation:
For the formation energy, the calculation gives -0.234 eV per atom. The distance to the lowest polymorph of the same formula is 19.3 meV per atom. The value obtained for the total moment is 0.00 Bohr magnetons per cell.

# 2
Computed, not measured: a relaxed Ti2CdSb2 crystal at the PBE level of DFT.

Structure (POSCAR):
```
Ti2CdSb2
1.0
7.8335 0.0000 0.0000
0.0000 7.8335 0.0000
0.0000 0.0000 3.5025
Ti Cd Sb
4 2 4
direct
0.1315 0.3685 0.0000 Ti
0.3685 0.8685 0.0000 Ti
0.6315 0.1315 0.0000 Ti
0.8685 0.6315 0.0000 Ti
0.0000 0.0000 0.5000 Cd
0.5000 0.5000 0.5000 Cd
0.1548 0.6548 0.5000 Sb
0.3452 0.1548 0.5000 Sb
0.6548 0.8452 0.5000 Sb
0.8452 0.3452 0.5000 Sb
```

Values from the calculation:
As for the uncorrected formation energy: -0.169 eV/atom. The distance to the lowest polymorph of the same formula is 100.0 meV per atom. The value obtained for the total moment is 0.00 Bohr magnetons per cell.

# 3
Computed, not measured: a relaxed Tb5Pm4Tm crystal at the PBE level of DFT.

Structure (POSCAR):
```
Tb5Pm4Tm
1.0
-5.3182 5.3182 2.9941
5.3182 -5.3182 2.9941
5.3182 5.3182 -2.9941
Tb Pm Tm
5 4 1
direct
0.0000 0.0000 0.0000 Tb
0.0780 0.0780 0.6229 Tb
0.0780 0.4551 0.0000 Tb
0.4551 0.0780 0.0000 Tb
0.4551 0.4551 0.3771 Tb
0.0779 0.7548 0.3231 Pm
0.4317 0.7548 0.6769 Pm
0.7548 0.0779 0.3231 Pm
0.7548 0.4317 0.6769 Pm
0.5260 0.5260 0.0000 Tm
```

Values from the calculation:
For the formation energy, the calculation gives 0.240 eV per atom. The distance to the lowest polymorph of the same formula is 225.8 meV per atom. The value obtained for the total moment is 0.00 Bohr magnetons per cell.

# 4
Computed, not measured: a relaxed LiNb2Tc2 crystal at the PBE level of DFT.

Structure (POSCAR):
```
LiNb2Tc2
1.0
7.5482 0.0000 0.0000
0.0000 7.5482 0.0000
0.0000 0.0000 3.0703
Li Nb Tc
2 4 4
direct
0.0000 0.0000 0.0000 Li
0.5000 0.5000 0.0000 Li
0.1469 0.3531 0.0000 Nb
0.3531 0.8531 0.0000 Nb
0.6469 0.1469 0.0000 Nb
0.8531 0.6469 0.0000 Nb
0.1473 0.6473 0.5000 Tc
0.3527 0.1473 0.5000 Tc
0.6473 0.8527 0.5000 Tc
0.8527 0.3527 0.5000 Tc
```

Values from the calculation:
For the formation energy, the calculation gives 0.236 eV per atom. The value obtained for the total moment is 0.00 Bohr magnetons per cell.

# 5
Computed, not measured: a relaxed CoReAu2 crystal at the PBE level of DFT.

Structure (POSCAR):
```
CoReAu2
1.0
-1.3771 2.3480 4.8431
1.3771 -2.3480 4.8431
1.3771 2.3480 -4.8431
Co Re Au
1 1 2
direct
0.0000 0.0000 0.0000 Co
0.2013 0.7013 0.5000 Re
0.4731 0.4731 0.0000 Au
0.7563 0.2563 0.5000 Au
```

Values from the calculation:
For the formation energy, the calculation gives 0.475 eV per atom. The distance to the lowest polymorph of the same formula is 277.3 meV per atom. The value obtained for the total moment is 0.42 Bohr magnetons per cell.

# 6
Computed, not measured: a relaxed PmCuSnAu crystal at the PBE level of DFT.

Structure (POSCAR):
```
PmCuSnAu
1.0
0.0000 3.4968 3.4968
3.4968 0.0000 3.4968
3.4968 3.4968 0.0000
Pm Cu Sn Au
1 1 1 1
direct
0.0000 0.0000 0.0000 Pm
0.7500 0.7500 0.7500 Cu
0.5000 0.5000 0.5000 Sn
0.2500 0.2500 0.2500 Au
```

Values from the calculation:
For the formation energy, the calculation gives -0.498 eV per atom. The value obtained for the total moment is 0.00 Bohr magnetons per cell.

# 7
Computed, not measured: a relaxed Ag2SbPd2O6 crystal at the PBE level of DFT.

Structure (POSCAR):
```
Ag2SbPd2O6
1.0
2.9026 -4.6341 0.0000
2.9026 4.6341 0.0000
-0.6804 0.0000 6.1782
Ag Sb Pd O
2 1 2 6
direct
0.1650 0.8350 0.0000 Ag
0.8350 0.1650 0.0000 Ag
0.0000 0.0000 0.5000 Sb
0.3329 0.6671 0.5000 Pd
0.6671 0.3329 0.5000 Pd
0.0247 0.6984 0.3093 O
0.3016 0.9753 0.6907 O
0.3043 0.3043 0.3449 O
0.6957 0.6957 0.6551 O
0.6984 0.0247 0.3093 O
0.9753 0.3016 0.6907 O
```

Values from the calculation:
As for the uncorrected formation energy: -0.525 eV/atom. The value obtained for the total moment is 0.67 Bohr magnetons per cell.

# 8
Computed, not measured: a relaxed Dy2SeI crystal at the PBE level of DFT.

Structure (POSCAR):
```
Dy2SeI
1.0
1.9559 1.1292 8.0874
-1.9559 1.1292 8.0874
0.0000 -2.2585 8.0874
Dy Se I
2 1 1
direct
0.0000 0.0000 0.0000 Dy
0.1913 0.1913 0.1913 Dy
0.5962 0.5962 0.5962 Se
0.7633 0.7633 0.7633 I
```

Values from the calculation:
As for the uncorrected formation energy: -1.197 eV/atom. The distance to the lowest polymorph of the same formula is 0.0 meV per atom. The value obtained for the total moment is 0.00 Bohr magnetons per cell.

# 9
Computed, not measured: a relaxed Tb2DyTl crystal at the PBE level of DFT.

Structure (POSCAR):
```
Tb2DyTl
1.0
1.8121 -6.3872 0.0000
1.8121 6.3872 0.0000
0.0000 0.0000 10.3727
Tb Dy Tl
4 2 2
direct
0.1312 0.8688 0.5307 Tb
0.1312 0.8688 0.9693 Tb
0.8688 0.1312 0.0307 Tb
0.8688 0.1312 0.4693 Tb
0.4606 0.5394 0.7500 Dy
0.5394 0.4606 0.2500 Dy
0.2555 0.7445 0.2500 Tl
0.7445 0.2555 0.7500 Tl
```

Values from the calculation:
For the formation energy, the calculation gives -0.164 eV per atom. The distance to the lowest polymorph of the same formula is 19.4 meV per atom. The value obtained for the total moment is 0.00 Bohr magnetons per cell.

# 10
Computed, not measured: a relaxed Ba3HfSn2O9 crystal at the PBE level of DFT.

Structure (POSCAR):
```
Ba3HfSn2O9
1.0
5.9265 0.0000 0.0000
-2.9633 5.1325 0.0000
0.0000 0.0000 7.2596
Ba Hf Sn O
3 1 2 9
direct
0.0000 0.0000 0.0000 Ba
0.3333 0.6667 0.6703 Ba
0.6667 0.3333 0.3297 Ba
0.0000 0.0000 0.5000 Hf
0.3333 0.6667 0.1684 Sn
0.6667 0.3333 0.8316 Sn
0.0000 0.5000 0.0000 O
0.1663 0.3325 0.3339 O
0.1663 0.8337 0.3339 O
0.3325 0.1663 0.6661 O
0.5000 0.0000 0.0000 O
0.5000 0.5000 0.0000 O
0.6675 0.8337 0.3339 O
0.8337 0.1663 0.6661 O
0.8337 0.6675 0.6661 O
```

Values from the calculation:
As for the uncorrected formation energy: -2.584 eV/atom. The value obtained for the total moment is 0.00 Bohr magnetons per cell.

# 11
Computed, not measured: a relaxed CaAl2GaFe crystal at the PBE level of DFT.

Structure (POSCAR):
```
CaAl2GaFe
1.0
4.5604 0.0000 0.0000
0.0000 4.5604 0.0000
0.0000 0.0000 4.6180
Ca Al Ga Fe
1 2 1 1
direct
0.0000 0.0000 0.0000 Ca
0.0000 0.5000 0.5000 Al
0.5000 0.0000 0.5000 Al
0.5000 0.5000 0.0000 Ga
0.5000 0.5000 0.5000 Fe
```

Values from the calculation:
For the formation energy, the calculation gives -0.260 eV per atom. The value obtained for the total moment is 0.86 Bohr magnetons per cell.

# 12
Computed, not measured: a relaxed Mg2Tl3In crystal at the PBE level of DFT.

Structure (POSCAR):
```
Mg2Tl3In
1.0
3.2138 -4.0980 0.0000
3.2138 4.0980 0.0000
-0.0300 0.0000 12.5008
Mg Tl In
4 6 2
direct
0.1196 0.6306 0.6279 Mg
0.3694 0.8804 0.8721 Mg
0.6306 0.1196 0.1279 Mg
0.8804 0.3694 0.3721 Mg
0.0706 0.9294 0.2500 Tl
0.1929 0.3124 0.0027 Tl
0.3124 0.1929 0.5027 Tl
0.6876 0.8071 0.4973 Tl
0.8071 0.6876 0.9973 Tl
0.9294 0.0706 0.7500 Tl
0.4454 0.5546 0.2500 In
0.5546 0.4454 0.7500 In
```

Values from the calculation:
For the formation energy, the calculation gives 0.036 eV per atom. The distance to the lowest polymorph of the same formula is 0.0 meV per atom. The value obtained for the total moment is 0.00 Bohr magnetons per cell.

# 13
Computed, not measured: a relaxed SrAgI2O crystal at the PBE level of DFT.

Structure (POSCAR):
```
SrAgI2O
1.0
6.4877 0.0000 0.0000
0.0000 6.4877 0.0000
0.0000 0.0000 4.2793
Sr Ag I O
1 1 2 1
direct
0.0000 0.0000 0.0000 Sr
0.5000 0.5000 0.5000 Ag
0.0000 0.5000 0.0000 I
0.5000 0.0000 0.0000 I
0.0000 0.0000 0.5000 O
```

Values from the calculation:
As for the uncorrected formation energy: -0.513 eV/atom. The distance to the lowest polymorph of the same formula is 131.4 meV per atom. The value obtained for the total moment is 0.00 Bohr magnetons per cell.

# 14
Computed, not measured: a relaxed La4Sn2Br3 crystal at the PBE level of DFT.

Structure (POSCAR):
```
La4Sn2Br3
1.0
3.9785 -2.2970 0.0000
3.9785 2.2970 0.0000
-0.0248 0.0000 17.6206
La Sn Br
4 2 3
direct
0.0011 0.0011 0.3068 La
0.3337 0.3337 0.1033 La
0.6663 0.6663 0.8967 La
0.9989 0.9989 0.6932 La
0.3327 0.3327 0.7966 Sn
0.6673 0.6673 0.2034 Sn
0.0000 0.0000 0.0000 Br
0.3345 0.3345 0.4016 Br
0.6655 0.6655 0.5984 Br
```

Values from the calculation:
As for the uncorrected formation energy: -1.293 eV/atom. The value obtained for the total moment is 0.00 Bohr magnetons per cell.

# 15
Computed, not measured: a relaxed Er5TlIn2 crystal at the PBE level of DFT.

Structure (POSCAR):
```
Er5TlIn2
1.0
-3.9915 3.9915 7.0973
3.9915 -3.9915 7.0973
3.9915 3.9915 -7.0973
Er Tl In
10 2 4
direct
0.0000 0.0000 0.0000 Er
0.0091 0.5091 0.8220 Er
0.1870 0.0091 0.5000 Er
0.3130 0.8130 0.8220 Er
0.4909 0.3130 0.5000 Er
0.5000 0.5000 0.0000 Er
0.5091 0.6870 0.5000 Er
0.6870 0.1870 0.1780 Er
0.8130 0.9909 0.5000 Er
0.9909 0.4909 0.1780 Er
0.2500 0.2500 0.0000 Tl
0.7500 0.7500 0.0000 Tl
0.1325 0.3675 0.5000 In
0.3675 0.8675 0.2351 In
0.6325 0.1325 0.7649 In
0.8675 0.6325 0.5000 In
```

Values from the calculation:
For the formation energy, the calculation gives -0.330 eV per atom. The distance to the lowest polymorph of the same formula is 0.0 meV per atom. The value obtained for the total moment is 0.00 Bohr magnetons per cell.

# 16
Computed, not measured: a relaxed Co2SiTc crystal at the PBE level of DFT.

Structure (POSCAR):
```
Co2SiTc
1.0
-1.8084 1.8084 3.5968
1.8084 -1.8084 3.5968
1.8084 1.8084 -3.5968
Co Si Tc
2 1 1
direct
0.2500 0.7500 0.5000 Co
0.7500 0.2500 0.5000 Co
0.0000 0.0000 0.0000 Si
0.5000 0.5000 0.0000 Tc
```

Values from the calculation:
As for the uncorrected formation energy: -0.187 eV/atom. The value obtained for the total moment is 0.69 Bohr magnetons per cell.

# 17
Computed, not measured: a relaxed Cr3NiRu crystal at the PBE level of DFT.

Structure (POSCAR):
```
Cr3NiRu
1.0
4.1679 0.0000 0.0000
0.0000 4.1679 0.0000
0.0000 0.0000 4.1679
Cr Ni Ru
3 1 1
direct
0.0000 0.0000 0.5000 Cr
0.0000 0.5000 0.0000 Cr
0.5000 0.0000 0.0000 Cr
0.0000 0.0000 0.0000 Ni
0.5000 0.5000 0.5000 Ru
```

Values from the calculation:
For the formation energy, the calculation gives 1.445 eV per atom. The distance to the lowest polymorph of the same formula is 0.0 meV per atom. The value obtained for the total moment is 0.00 Bohr magnetons per cell.

# 18
Computed, not measured: a relaxed Ti2BeSb crystal at the PBE level of DFT.

Structure (POSCAR):
```
Ti2BeSb
1.0
0.0000 3.2016 3.2016
3.2016 0.0000 3.2016
3.2016 3.2016 0.0000
Ti Be Sb
2 1 1
direct
0.2500 0.2500 0.2500 Ti
0.7500 0.7500 0.7500 Ti
0.0000 0.0000 0.0000 Be
0.5000 0.5000 0.5000 Sb
```

Values from the calculation:
As for the uncorrected formation energy: 0.044 eV/atom. The distance to the lowest polymorph of the same formula is 0.0 meV per atom. The value obtained for the total moment is 0.00 Bohr magnetons per cell.

# 19
Computed, not measured: a relaxed CsCeAgI5 crystal at the PBE level of DFT.

Structure (POSCAR):
```
CsCeAgI5
1.0
5.2592 -7.0128 0.0000
5.2592 7.0128 0.0000
-4.5733 0.0000 10.9828
Cs Ce Ag I
2 2 2 10
direct
0.1485 0.8515 0.7500 Cs
0.8515 0.1485 0.2500 Cs
0.5000 0.5000 0.0000 Ce
0.5000 0.5000 0.5000 Ce
0.1909 0.8091 0.2500 Ag
0.8091 0.1909 0.7500 Ag
0.1257 0.2663 0.9347 I
0.1858 0.5956 0.3984 I
0.2663 0.1257 0.4347 I
0.4044 0.8142 0.1016 I
0.4248 0.5752 0.7500 I
0.5752 0.4248 0.2500 I
0.5956 0.1858 0.8984 I
0.7337 0.8743 0.5653 I
0.8142 0.4044 0.6016 I
0.8743 0.7337 0.0653 I
```

Values from the calculation:
As for the uncorrected formation energy: -1.122 eV/atom. The value obtained for the total moment is 2.00 Bohr magnetons per cell.

# 20
Computed, not measured: a relaxed AcTbHo crystal at the PBE level of DFT.

Structure (POSCAR):
```
AcTbHo
1.0
3.7217 0.0000 0.0000
-1.8609 3.2231 0.0000
0.0000 0.0000 8.9108
Ac Tb Ho
1 1 1
direct
0.0000 0.0000 0.0000 Ac
0.3333 0.6667 0.6553 Tb
0.6667 0.3333 0.3414 Ho
```

Values from the calculation:
For the formation energy, the calculation gives 0.062 eV per atom. The distance to the lowest polymorph of the same formula is 1.1 meV per atom. The value obtained for the total moment is 0.00 Bohr magnetons per cell.

no.,ρ (g/cm³)
1,12.31
2,6.98
3,7.57
4,7.38
5,16.94
6,10.18
7,6.46
8,8.23
9,9.47
10,7.31
11,3.80
12,7.83
13,4.29
14,5.32
15,9.33
16,8.61
17,7.24
18,5.73
19,4.16
20,8.56